## i
An optimized crystal structure of SiHg3Te. Source: Alexandria via LeMat-Bulk, functional PBE.

## Properties
spin magnetization: 0.227 μB per formula unit
crystal system: cubic
Fermi-level density of states: 5.86 states/eV/f.u.

```
data_SiHg3Te
_cell_length_a 5.1779
_cell_length_b 5.1779
_cell_length_c 5.1779
_cell_angle_alpha 90.00
_cell_angle_beta 90.00
_cell_angle_gamma 90.00
_symmetry_space_group_name_H-M 'P 1'
_symmetry_Int_Tables_number 1
_symmetry_space_group_name_Hall 'P 1'
loop_
_atom_site_label
_atom_site_type_symbol
_atom_site_fract_x
_atom_site_fract_y
_atom_site_fract_z
_atom_site_occupancy
Si1 Si 0.0000 0.0000 0.0000 1
Te1 Te 0.5000 0.5000 0.5000 1
Hg1 Hg 0.0000 0.5000 0.0000 1
Hg2 Hg 0.0000 0.0000 0.5000 1
Hg3 Hg 0.5000 0.0000 0.0000 1
```


## ii
An optimized crystal structure of SiHg3Te. Source: Alexandria via LeMat-Bulk, functional PBE.

## Properties
spin magnetization: 2.196 μB per formula unit
crystal system: cubic
Fermi-level density of states: 2.14 states/eV/f.u.

```
data_SiHg3Te
_cell_length_a 5.8203
_cell_length_b 5.8203
_cell_length_c 5.8203
_cell_angle_alpha 90.00
_cell_angle_beta 90.00
_cell_angle_gamma 90.00
_symmetry_space_group_name_H-M 'P 1'
_symmetry_Int_Tables_number 1
_symmetry_space_group_name_Hall 'P 1'
loop_
_atom_site_label
_atom_site_type_symbol
_atom_site_fract_x
_atom_site_fract_y
_atom_site_fract_z
_atom_site_occupancy
Si1 Si 0.5000 0.5000 0.5000 1
Te1 Te 0.0000 0.0000 0.0000 1
Hg1 Hg 0.0000 0.5000 0.0000 1
Hg2 Hg 0.0000 0.0000 0.5000 1
Hg3 Hg 0.5000 0.0000 0.0000 1
```


Compare the structures above. Which one is the most stable? i is.